1.
VASP calculation (PBE) on H6PtSe2 after structural relaxation.

abc: 6.1930 9.8202 3.6941
angles: 90.00 99.64 90.00
With the nearest neighbours (Å) after each atom.
Space group C2/m (No. 12)
Unique sites:
H  0.0582  0.1187  0.4802  1 H 0.76
H  0.2383  0.0000  0.3143  1 Pt 1.65, 2 H 1.79
Pt  0.0000  0.5000  0.5000  2 H 1.65
Se  0.0000  0.3310  0.0000  2 Pt 2.48, 4 H 2.71-2.72

## Properties
total energy: -63.92 eV per cell
total magnetization: 0.000 μB/atom

***

2.
VASP calculation (PBE) on HPtSe after structural relaxation.

abc: 10.8505 10.8505 6.4097
angles: 90.00 90.00 90.00
With the nearest neighbours (Å) after each atom.
Space group I4_1/a (No. 88, origin choice 2)
Unique sites:
H  0.1092  0.1322  0.0459  2 Pt 1.68-1.78
Pt  0.0157  0.0452  0.1938  2 H 1.68-1.78
Se  0.0982  0.1139  0.5386  3 Pt 2.50-2.73

## Properties
energy above the most stable polymorph in this dataset: 90 meV per atom
total magnetization: 0.000 μB/atom

***

3.
VASP calculation (PBE) on H2PtSe after structural relaxation.

abc: 5.4982 5.4982 5.4982
angles: 90.00 90.00 90.00
With the nearest neighbours (Å) after each atom.
Space group Fm-3m (No. 225)
Unique sites:
H  0.2500  0.2500  0.2500  4 Se 2.38, 4 Pt 2.38
Pt  0.0000  0.0000  0.0000  8 H 2.38
Se  0.0000  0.0000  0.5000  8 H 2.38

## Properties
energy above the most stable polymorph in this dataset: 416 meV per atom
total magnetization: 0.000 μB/atom

***

4.
VASP calculation (PBE) on HPt3Se after structural relaxation.

abc: 4.1086 4.1086 4.1086
angles: 90.00 90.00 90.00
With the nearest neighbours (Å) after each atom.
Space group Pm-3m (No. 221)
Unique sites:
H  0.0000  0.0000  0.0000  6 Pt 2.05
Pt  0.0000  0.0000  0.5000  2 H 2.05
Se  0.5000  0.5000  0.5000  12 Pt 2.91

## Properties
energy above the most stable polymorph in this dataset: 0 meV per atom
total magnetization: 0.000 μB/atom

***

5.
VASP calculation (PBE) on H2PtSe2 after structural relaxation.

abc: 6.8079 6.8079 3.3394
angles: 90.00 90.00 90.00
With the nearest neighbours (Å) after each atom.
Space group P4/mbm (No. 127)
Unique sites:
H  0.1217  0.3783  0.0000  2 Se 1.75
Pt  0.0000  0.0000  0.5000  4 Se 2.51
Se  0.1763  0.3237  0.5000  2 H 1.75

## Properties
energy above the most stable polymorph in this dataset: 0 meV per atom
total magnetization: 0.000 μB/atom

***

6.
VASP calculation (PBE) on HPtSe2 after structural relaxation.

abc: 5.4420 5.4420 9.6487
angles: 90.00 90.00 90.00
With the nearest neighbours (Å) after each atom.
Space group I-42d (No. 122)
Unique sites:
H  0.0000  0.0000  0.0000  4 Se 2.13
Pt  0.0000  0.0000  0.5000  4 Se 2.43
Se  0.2030  0.2500  0.1250  2 H 2.13

## Properties
energy above the most stable polymorph in this dataset: 388 meV per atom
total magnetization: 0.000 μB/atom

***

7.
VASP calculation (PBE) on H2PtSe after structural relaxation.

abc: 5.1380 5.1380 7.3674
angles: 90.00 90.00 90.00
With the nearest neighbours (Å) after each atom.
Space group I-42d (No. 122)
Unique sites:
H  0.1179  0.2500  0.1250  2 Pt 1.69
Pt  0.0000  0.0000  0.0000  4 H 1.69
Se  0.0000  0.0000  0.5000  4 H 2.52

## Properties
energy above the most stable polymorph in this dataset: 0 meV per atom
total magnetization: 0.000 μB/atom

***

8.
VASP calculation (PBE) on HPtSe after structural relaxation.

abc: 2.7945 2.7945 5.1940
angles: 90.00 90.00 90.00
With the nearest neighbours (Å) after each atom.
Space group P4/mmm (No. 123)
Unique sites:
H  0.0000  0.0000  0.0000  4 Pt 1.98
Pt  0.5000  0.5000  0.0000  4 H 1.98
Se  0.5000  0.5000  0.5000  2 Pt 2.60, 4 Se 2.79

## Properties
energy above the most stable polymorph in this dataset: 0 meV per atom
total magnetization: 0.000 μB/atom